# Ba4HgI2Br

A relaxed structure of Ba4HgI2Br (PBE, Alexandria).

Values from the calculation:
Crystal system   monoclinic
Formation energy without anion corrections   -114 kJ per mole of atoms
V   43.915 Å³/atom

Unit cell a=4.7805 b=8.9800 c=8.5954 alpha=72.19 beta=90.00 gamma=90.00
Fractional coordinates of all 8 atoms:
Ba (0.0000, 0.7275, 0.7520)
Ba (0.0000, 0.2725, 0.2480)
Ba (0.5000, 0.7227, 0.2684)
Ba (0.5000, 0.2773, 0.7316)
Hg (0.0000, 0.5000, 0.5000)
I (0.0000, 0.0000, 0.0000)
I (0.5000, 0.0000, 0.5000)
Br (0.5000, 0.5000, 0.0000)



# Ba4HgIBr2

A relaxed structure of Ba4HgIBr2 (PBE, Alexandria).

Values from the calculation:
Crystal system   monoclinic
Formation energy without anion corrections   -120 kJ per mole of atoms
V   42.033 Å³/atom

Unit cell a=4.7606 b=8.4312 c=8.8256 alpha=71.67 beta=90.00 gamma=90.00
Fractional coordinates of all 8 atoms:
Ba (0.0000, 0.7578, 0.7322)
Ba (0.0000, 0.2422, 0.2678)
Ba (0.5000, 0.7420, 0.2678)
Ba (0.5000, 0.2580, 0.7322)
Hg (0.0000, 0.5000, 0.5000)
I (0.5000, 0.5000, 0.0000)
Br (0.0000, 0.0000, 0.0000)
Br (0.5000, 0.0000, 0.5000)



# Ba6HgI3Br2

A relaxed structure of Ba6HgI3Br2 (PBE, Alexandria).

Values from the calculation:
Crystal system   monoclinic
Formation energy without anion corrections   -124 kJ per mole of atoms
V   43.176 Å³/atom

Unit cell a=8.4606 b=8.4606 c=8.7881 alpha=99.15 beta=99.15 gamma=119.73
Fractional coordinates of all 12 atoms:
Ba (0.9254, 0.6003, 0.7739)
Ba (0.7522, 0.7522, 0.2286)
Ba (0.0746, 0.3997, 0.2261)
Ba (0.6003, 0.9254, 0.7739)
Ba (0.2478, 0.2478, 0.7714)
Ba (0.3997, 0.0746, 0.2261)
Hg (0.0000, 0.0000, 0.0000)
I (0.1720, 0.8280, 0.5000)
I (0.8280, 0.1720, 0.5000)
I (0.5000, 0.5000, 0.5000)
Br (0.3346, 0.6654, 0.0000)
Br (0.6654, 0.3346, 0.0000)



- The highest V belongs to which entry?
  Ba4HgI2Br



- The highest formation energy without anion corrections belongs to which entry?
  Ba4HgI2Br